DFT (PBE) results for a relaxed structure of TaPtNO.

Summary:
As for the crystal system: orthorhombic.

Lattice parameters (Å, degrees): 5.0573 7.3672 5.2792 90.00 90.00 90.00
Closest atoms and distances in Å follow each position.
Sites, in units of the cell vectors:
Ta 0.0164 0.1791 0.0000  2 N 2.03-2.07, 3 O 2.04-2.19
Ta 0.4836 0.1791 0.5000  2 N 2.03-2.07, 3 O 2.04-2.19
Ta 0.5164 0.8209 0.0000  2 N 2.03-2.07, 3 O 2.04-2.19
Ta 0.9836 0.8209 0.5000  2 N 2.03-2.07, 3 O 2.04-2.19
Pt 0.1209 0.4475 0.3118  2 N 2.05-2.22
Pt 0.3791 0.4475 0.8118  2 N 2.05-2.22
Pt 0.6209 0.5525 0.3118  2 N 2.05-2.22
Pt 0.8791 0.5525 0.8118  2 N 2.05-2.22
N 0.1991 0.7217 0.7927  2 Ta 2.03-2.07, 2 Pt 2.05-2.22
N 0.3009 0.7217 0.2927  2 Ta 2.03-2.07, 2 Pt 2.05-2.22
N 0.6991 0.2783 0.7927  2 Ta 2.03-2.07, 2 Pt 2.05-2.22
N 0.8009 0.2783 0.2927  2 Ta 2.03-2.07, 2 Pt 2.05-2.22
O 0.1312 0.0592 0.6375  3 Ta 2.04-2.19
O 0.3688 0.0592 0.1375  3 Ta 2.04-2.19
O 0.6312 0.9408 0.6375  3 Ta 2.04-2.19
O 0.8688 0.9408 0.1375  3 Ta 2.04-2.19

DFT (PBE) results for a relaxed structure of Gd2DyMg3ZnIn2.

Summary:
As for the crystal system: orthorhombic.

Lattice parameters (Å, degrees): 4.5930 7.4844 7.4844 119.73 90.00 90.00
Closest atoms and distances in Å follow each position.
Sites, in units of the cell vectors:
Gd 0.0000 0.2068 0.7932  1 Zn 3.11, 4 In 3.23
Gd 0.0000 0.7932 0.2068  1 Zn 3.11, 4 In 3.23
Dy 0.0000 0.3796 0.3796  1 Zn 3.09, 4 In 3.21
Mg 0.5000 0.0279 0.0279  2 Zn 2.91, 2 In 2.93, 2 Mg 3.06
Mg 0.5000 0.5566 0.7925  2 Zn 2.89, 2 In 2.93-2.94, 2 Mg 3.05-3.06
Mg 0.5000 0.7925 0.5566  2 Zn 2.89, 2 In 2.93-2.94, 2 Mg 3.05-3.06
Zn 0.0000 0.7906 0.7906  6 Mg 2.89-2.91, 1 Dy 3.09, 2 Gd 3.11
In 0.5000 0.1274 0.4591  3 Mg 2.93-2.94, 2 Dy 3.21, 4 Gd 3.23
In 0.5000 0.4591 0.1274  3 Mg 2.93-2.94, 2 Dy 3.21, 4 Gd 3.23

no.,total energy (eV per formula unit)
1,-35.25
2,-28.63